{"formula": "Er6Te3Pt2Se", "functional": "PBE", "state": "optimized geometry", "e_form_raw_ev_per_atom": -1.3654, "space_group": "C2/m (12)", "cell": [[-0.653, -6.631, 2.707], [6.477, 2.532, -1.835], [-1.084, 3.992, 6.352]], "species": ["Te", "Te", "Te", "Er", "Er", "Er", "Er", "Er", "Er", "Pt", "Pt", "Se"], "frac_coords": [[0.160, 0.840, 0.500], [0.500, 0.500, 0.500], [0.840, 0.160, 0.500], [0.927, 0.577, 0.784], [0.073, 0.423, 0.216], [0.577, 0.927, 0.784], [0.279, 0.279, 0.787], [0.423, 0.073, 0.216], [0.721, 0.721, 0.213], [0.668, 0.332, 0.000], [0.332, 0.668, 0.000], [0.000, 0.000, 0.000]]}

---

{"formula": "PmCdAsS", "functional": "PBE", "state": "optimized geometry", "e_form_raw_ev_per_atom": -0.9871, "space_group": "P4/nmm (129)", "cell": [[4.529, 0.000, 0.000], [0.000, 4.529, 0.000], [0.000, 0.000, 9.489]], "species": ["Cd", "Cd", "S", "S", "Pm", "Pm", "As", "As"], "frac_coords": [[0.000, 0.000, 0.000], [0.500, 0.500, 0.000], [0.500, 0.500, 0.500], [0.000, 0.000, 0.500], [0.500, 0.000, 0.662], [0.000, 0.500, 0.338], [0.000, 0.500, 0.816], [0.500, 0.000, 0.184]]}

---

{"formula": "La3TlN", "functional": "PBE", "state": "optimized geometry", "e_form_raw_ev_per_atom": -0.4472, "space_group": "R-3c (167)", "cell": [[-7.888, 3.965, -1.305], [-5.166, 4.573, 5.660], [-2.198, 8.648, 0.104]], "species": ["N", "N", "La", "La", "La", "La", "La", "La", "Tl", "Tl"], "frac_coords": [[0.750, 0.750, 0.750], [0.250, 0.250, 0.250], [0.250, 0.953, 0.547], [0.453, 0.750, 0.047], [0.547, 0.250, 0.953], [0.750, 0.047, 0.453], [0.953, 0.547, 0.250], [0.047, 0.453, 0.750], [0.500, 0.500, 0.500], [0.000, 0.000, 0.000]]}

---

{"formula": "Pr4DySe5", "functional": "PBE", "state": "optimized geometry", "e_form_raw_ev_per_atom": -1.8166, "space_group": "I4/mmm (139)", "cell": [[4.222, 0.000, 0.000], [0.000, 4.222, 0.000], [-2.111, -2.111, 15.019]], "species": ["Pr", "Pr", "Pr", "Pr", "Se", "Se", "Se", "Se", "Se", "Dy"], "frac_coords": [[0.398, 0.398, 0.796], [0.602, 0.602, 0.204], [0.805, 0.805, 0.610], [0.195, 0.195, 0.390], [0.703, 0.703, 0.406], [0.500, 0.500, 0.000], [0.095, 0.095, 0.190], [0.297, 0.297, 0.594], [0.905, 0.905, 0.810], [0.000, 0.000, 0.000]]}